(1)
This record from Alexandria via LeMat-Bulk describes a relaxed structure of ThTiCo2As2. The functional is GGA-PBE.

Cell: 4.068 4.068 6.912 Å, 90.00 90.00 120.00°
Atoms (fractional coordinates):
1 Th 0.000 0.000 0.000
2 Ti 0.000 0.000 0.500
3 Co 0.333 0.667 0.648
4 Co 0.667 0.333 0.352
5 As 0.333 0.667 0.277
6 As 0.667 0.333 0.723

(2)
This record from Alexandria via LeMat-Bulk describes a relaxed structure of Th2TiCo4As3. The functional is GGA-PBE.

Cell: 4.066 4.066 9.944 Å, 90.00 90.00 90.00°
Atoms (fractional coordinates):
1 Th 0.000 0.500 0.242
2 Th 0.500 0.000 0.758
3 Ti 0.000 0.000 0.500
4 Co 0.000 0.000 0.000
5 Co 0.000 0.500 0.633
6 Co 0.500 0.000 0.367
7 Co 0.500 0.500 0.000
8 As 0.000 0.500 0.871
9 As 0.500 0.000 0.129
10 As 0.500 0.500 0.500

| no. | calculated total energy (eV per atom) | energy of formation (kJ/mol of atoms) |
| --- | --- | --- |
| 1 | -7.2948 | -79.5 |
| 2 | -7.2706 | -73.3 |